## InCuGeTeSe2 (PBE)

Data for crystalline InCuGeTeSe2 at its relaxed geometry.

```
InCuGeTeSe2
1.0
1.938 -6.563 0.000
1.938 6.563 0.000
0.000 0.000 11.124
In Cu Ge Te Se
2 2 2 2 4
Cartesian
1.938 3.759 8.343
1.938 -3.759 2.781
1.938 0.503 2.781
1.938 -0.503 8.343
0.000 0.000 0.000
0.000 0.000 5.562
1.938 5.248 2.781
1.938 -5.248 8.343
1.938 1.821 0.747
1.938 1.821 4.815
1.938 -1.821 6.309
1.938 -1.821 10.377
```

Its energy is -0.135 Ha/atom. The space group is Cmcm, No. 63.